Record 1
This record from Alexandria via LeMat-Bulk describes a relaxed structure of LiPr2Zn2Rh5. The functional is GGA-PBE.

Unit cell a=3.7524 b=9.6762 c=9.6762 alpha=90.00 beta=90.00 gamma=90.00
Closest atoms and distances in Å follow each position.
Element x y z (fractional)
Pr1 0.0000 0.3229 0.8229  3 Zn 2.75-2.94, 2 Rh 3.06
Pr2 0.0000 0.6771 0.1771  3 Zn 2.75-2.94, 2 Rh 3.06
Pr3 0.0000 0.1771 0.3229  3 Zn 2.75-2.94, 2 Rh 3.06
Pr4 0.0000 0.8229 0.6771  3 Zn 2.75-2.94, 2 Rh 3.06
Rh1 0.5000 0.7035 0.4350  2 Zn 2.58, 2 Li 2.79
Rh2 0.5000 0.5000 0.0000  4 Zn 2.51
Rh3 0.5000 0.2965 0.5650  2 Zn 2.58, 2 Li 2.79
Rh4 0.5000 0.5650 0.7035  2 Zn 2.58, 2 Li 2.79
Rh5 0.5000 0.9350 0.2035  2 Zn 2.58, 2 Li 2.79
Rh6 0.5000 0.7965 0.9350  2 Zn 2.58, 2 Li 2.79
Rh7 0.5000 0.0650 0.7965  2 Zn 2.58, 2 Li 2.79
Rh8 0.5000 0.0000 0.5000  4 Zn 2.51
Rh9 0.5000 0.4350 0.2965  2 Zn 2.58, 2 Li 2.79
Rh10 0.5000 0.2035 0.0650  2 Zn 2.58, 2 Li 2.79
Zn1 0.0000 0.6218 0.8782  6 Rh 2.51-2.58, 1 Pr 2.75
Zn2 0.0000 0.8782 0.3782  6 Rh 2.51-2.58, 1 Pr 2.75
Zn3 0.0000 0.3782 0.1218  6 Rh 2.51-2.58, 1 Pr 2.75
Zn4 0.0000 0.1218 0.6218  6 Rh 2.51-2.58, 1 Pr 2.75
Li1 0.0000 0.5000 0.5000  8 Rh 2.79
Li2 0.0000 0.0000 0.0000  8 Rh 2.79

Calculated values
E_form: -38 kJ/mol of atoms
density of states at the Fermi level: 13.10 states/eV per cell
symmetry: No. 127



Record 2
This record from Alexandria via LeMat-Bulk describes a relaxed structure of LiPrZnRh. The functional is GGA-PBE.

Unit cell a=4.7513 b=4.7513 c=4.7513 alpha=60.00 beta=60.00 gamma=60.00
Closest atoms and distances in Å follow each position.
Element x y z (fractional)
Pr1 0.5000 0.5000 0.5000  4 Li 2.91, 4 Rh 2.91
Zn1 0.0000 0.0000 0.0000  4 Rh 2.91, 4 Li 2.91
Rh1 0.7500 0.7500 0.7500  4 Pr 2.91, 4 Zn 2.91
Li1 0.2500 0.2500 0.2500  4 Pr 2.91, 4 Zn 2.91

Calculated values
E_form: -32 kJ/mol of atoms
density of states at the Fermi level: 1.89 states/eV per cell
symmetry: No. 216



Record 3
This record from Alexandria via LeMat-Bulk describes a relaxed structure of LiPrRu. The functional is GGA-PBE.

Unit cell a=3.5607 b=3.5607 c=5.2916 alpha=109.66 beta=109.66 gamma=90.00
Closest atoms and distances in Å follow each position.
Element x y z (fractional)
Ru1 0.2664 0.2664 0.5329  4 Li 2.77, 5 Pr 2.99-3.03
Pr1 0.9404 0.9404 0.8808  1 Li 2.77, 5 Ru 2.99-3.03
Li1 0.6432 0.6432 0.2864  1 Pr 2.77, 4 Ru 2.77

Calculated values
E_form: 10 kJ/mol of atoms
density of states at the Fermi level: 1.44 states/eV per cell
symmetry: No. 107
excess energy over the best structure of this formula in the dataset: 0 meV per atom



Record 4
This record from Alexandria via LeMat-Bulk describes a relaxed structure of LiPrRu. The functional is GGA-PBE.

Unit cell a=3.5130 b=4.4436 c=4.4436 alpha=120.00 beta=90.00 gamma=90.00
Closest atoms and distances in Å follow each position.
Element x y z (fractional)
Pr1 0.6666 0.3333 0.6667  6 Ru 3.11, 6 Li 3.11
Li1 0.1657 0.6667 0.3333  3 Ru 2.57
Ru1 0.1677 0.0000 0.0000  3 Li 2.57

Calculated values
E_form: 11 kJ/mol of atoms
density of states at the Fermi level: 1.16 states/eV per cell
symmetry: No. 187
excess energy over the best structure of this formula in the dataset: 16 meV per atom



Record 5
This record from Alexandria via LeMat-Bulk describes a relaxed structure of LiPr2Ru. The functional is GGA-PBE.

Unit cell a=5.1111 b=5.1111 c=5.1111 alpha=60.00 beta=60.00 gamma=60.00
Closest atoms and distances in Å follow each position.
Element x y z (fractional)
Pr1 0.7500 0.7500 0.7500  4 Li 3.13, 4 Ru 3.13
Pr2 0.2500 0.2500 0.2500  4 Li 3.13, 4 Ru 3.13
Ru1 0.0000 0.0000 0.0000  8 Pr 3.13
Li1 0.5000 0.5000 0.5000  8 Pr 3.13

Calculated values
E_form: -11 kJ/mol of atoms
density of states at the Fermi level: 2.30 states/eV per cell
symmetry: No. 225
excess energy over the best structure of this formula in the dataset: 0 meV per atom



Record 6
This record from Alexandria via LeMat-Bulk describes a relaxed structure of LiPrRu. The functional is GGA-PBE.

Unit cell a=6.3847 b=6.3847 c=6.3847 alpha=90.00 beta=90.00 gamma=90.00
Closest atoms and distances in Å follow each position.
Element x y z (fractional)
Pr1 0.0952 0.5952 0.9048  3 Ru 2.82
Pr2 0.5952 0.9048 0.0952  3 Ru 2.82
Pr3 0.9048 0.0952 0.5952  3 Ru 2.82
Pr4 0.4048 0.4048 0.4048  3 Ru 2.82
Li1 0.9071 0.5929 0.4071  3 Ru 2.45
Li2 0.5929 0.4071 0.9071  3 Ru 2.45
Li3 0.4071 0.9071 0.5929  3 Ru 2.45
Li4 0.0929 0.0929 0.0929  3 Ru 2.45
Ru1 0.7153 0.7153 0.7153  3 Li 2.45
Ru2 0.7847 0.2847 0.2153  3 Li 2.45
Ru3 0.2847 0.2153 0.7847  3 Li 2.45
Ru4 0.2153 0.7847 0.2847  3 Li 2.45

Calculated values
E_form: 23 kJ/mol of atoms
density of states at the Fermi level: 8.65 states/eV per cell
symmetry: No. 198
excess energy over the best structure of this formula in the dataset: 135 meV per atom